# 1
Entry from the Alexandria database: an optimized crystal structure of LiY2InS5 (PBE).

Properties
- Uncorrected formation energy: -1.47 eV/atom
- E: -5.7134 eV/atom

a = 3.8847 Å, b = 8.6344 Å, c = 11.3179 Å
α = 90.00°, β = 90.00°, γ = 103.00°
Fractional positions:
Li 0.7761 0.5522 0.5154
Li 0.2239 0.4478 0.0154
Y 0.8729 0.7458 0.8012
Y 0.1250 0.2501 0.6774
Y 0.1271 0.2542 0.3012
Y 0.8750 0.7499 0.1774
In 0.5805 0.1609 0.9736
In 0.4195 0.8391 0.4736
S 0.3620 0.7241 0.9958
S 0.6964 0.3927 0.8336
S 0.5052 0.0105 0.7832
S 0.2992 0.5984 0.6578
S 0.9646 0.9291 0.5860
S 0.6380 0.2759 0.4958
S 0.3036 0.6073 0.3336
S 0.4948 0.9895 0.2832
S 0.7008 0.4016 0.1578
S 0.0354 0.0709 0.0860



# 2
Entry from the Alexandria database: an optimized crystal structure of LiZn2InS4 (PBE).

Properties
- Uncorrected formation energy: -0.87 eV/atom
- E: -3.8300 eV/atom

a = 5.5543 Å, b = 5.5543 Å, c = 6.8351 Å
α = 113.97°, β = 113.97°, γ = 90.00°
Fractional positions:
Li 0.5001 0.5001 0.0002
Zn 0.7500 0.2500 0.5001
Zn 0.2500 0.7500 0.5001
In 0.0000 0.0000 0.0000
S 0.6125 0.6125 0.7374
S 0.3875 0.8751 0.2627
S 0.8751 0.3875 0.2627
S 0.1250 0.1250 0.7375



# 3
Entry from the Alexandria database: an optimized crystal structure of Li2ZrInS4 (PBE).

Properties
- Uncorrected formation energy: -1.18 eV/atom
- E: -5.1317 eV/atom

a = 3.7055 Å, b = 6.7609 Å, c = 6.4820 Å
α = 110.25°, β = 90.00°, γ = 90.00°
Fractional positions:
Li 0.5000 0.0000 0.5000
Li 0.0000 0.5000 0.5000
Zr 0.5000 0.5000 0.0000
In 0.0000 0.0000 0.0000
S 0.5000 0.2647 0.2431
S 0.5000 0.7353 0.7569
S 0.0000 0.2552 0.7535
S 0.0000 0.7448 0.2465



> Which of these has the lowest uncorrected formation energy?

LiY2InS5



Copy entry 3 word for word.
Entry from the Alexandria database: an optimized crystal structure of Li2ZrInS4 (PBE).

Properties
- Uncorrected formation energy: -1.18 eV/atom
- E: -5.1317 eV/atom

a = 3.7055 Å, b = 6.7609 Å, c = 6.4820 Å
α = 110.25°, β = 90.00°, γ = 90.00°
Fractional positions:
Li 0.5000 0.0000 0.5000
Li 0.0000 0.5000 0.5000
Zr 0.5000 0.5000 0.0000
In 0.0000 0.0000 0.0000
S 0.5000 0.2647 0.2431
S 0.5000 0.7353 0.7569
S 0.0000 0.2552 0.7535
S 0.0000 0.7448 0.2465



> Look up the uncorrected formation energy of the second one.

-0.87 eV/atom



> Number 2 is which compound?

LiZn2InS4